Entry from Alexandria: an optimized crystal structure of Pm3NdMg (PBE).

abc: 3.778 8.923 10.121
angles: 103.62 100.74 90.03
Atoms (fractional coordinates):
Mg1 0.820 0.549 0.897
Mg2 0.011 0.675 0.278
Pm1 0.603 0.490 0.461
Pm2 0.228 0.735 0.714
Pm3 0.413 0.841 0.082
Pm4 0.619 0.938 0.495
Pm5 0.212 0.287 0.680
Pm6 0.418 0.384 0.093
Nd1 0.815 0.070 0.887
Nd2 0.016 0.155 0.288

Uncorrected energy   -20.699 eV per formula unit
Relative energy among the computed polymorphs   0 kJ/mol of formula units
Magnetization   0.00 μB per cell
Energy of formation   -0.08 eV per formula unit
N(E_F)   6.06 states/eV/f.u.